First-principles (GGA-PBE) data for a relaxed structure of Sm2ErPu, as listed in the Alexandria database.

## Properties
Size of the total moment, μB/f.u.: 7.5
ΔH_f (0 K), eV per atom: 0.2074
Raw total energy, eV for the cell shown: -27.50
Space group: No. 225
N(E_F), states/eV per cell: 12.09
Offset from the most stable computed form, eV/atom: 0.099
Calculated volume, Å³ per atom: 31.61

a b c (Å): 5.634 5.634 5.634
angles (deg): 60.00 60.00 60.00
Fractional coordinates of all 4 atoms:
Er 0.500 0.500 0.500
Sm 0.250 0.250 0.250
Sm 0.750 0.750 0.750
Pu 0.000 0.000 0.000